A relaxed La3CoPb crystal. Source: Alexandria via LeMat-Bulk, functional GGA-PBE.

Output
DFT formation energy in eV/f.u.: 1.32
Energy relative to the lowest polymorph listed for this composition in meV per atom: 658
N(E_F) in states/eV/cell: 8.1
SG: No. 99
Calculated volume in Å³/atom: 37.29
Total magnetization in μB per formula unit: 0.0

Unit cell a=4.7043 b=4.7043 c=8.4248 alpha=90.00 beta=90.00 gamma=90.00
Closest atoms and distances in Å follow each position.
Positions (direct):
La 0.5000 0.0000 0.6976  2 Co 2.80
La 0.0000 0.5000 0.6976  2 Co 2.80
Pb 0.0000 0.0000 0.9850  5 La 3.21-3.38
La 0.0000 0.0000 0.3656  1 Pb 3.21, 4 Co 3.57
Co 0.5000 0.5000 0.5179  4 La 2.80